Entry 1:
# PBE CeI4, relaxed
data_CeI4
_chemical_formula_sum 'Ce1 I4'
_cell_length_a 6.1760
_cell_length_b 6.1760
_cell_length_c 6.1760
_cell_angle_alpha 90.00
_cell_angle_beta 90.00
_cell_angle_gamma 90.00
_space_group_name_H-M_alt 'P m -3 m'
_space_group_IT_number 221
_space_group_name_Hall '-P 4 2 3'
loop_
_atom_site_label
_atom_site_type_symbol
_atom_site_fract_x
_atom_site_fract_y
_atom_site_fract_z
Ce1 Ce 0.0000 0.0000 0.0000
I1 I 0.0000 0.0000 0.5000
I2 I 0.5000 0.5000 0.5000
# M_tot ... 0.275 μB per atom
# Formation energy (no corrections) ... -811 meV per atom

Entry 2:
# PBE LaPmCo, relaxed
data_LaPmCo
_chemical_formula_sum 'La4 Pm4 Co4'
_cell_length_a 6.8570
_cell_length_b 6.8570
_cell_length_c 6.8570
_cell_angle_alpha 90.00
_cell_angle_beta 90.00
_cell_angle_gamma 90.00
_space_group_name_H-M_alt 'F -4 3 m'
_space_group_IT_number 216
_space_group_name_Hall 'F -4 2 3'
loop_
_atom_site_label
_atom_site_type_symbol
_atom_site_fract_x
_atom_site_fract_y
_atom_site_fract_z
La1 La 0.0000 0.0000 0.0000
Pm1 Pm 0.0000 0.0000 0.5000
Co1 Co 0.2500 0.2500 0.7500
# DFT formation energy ... 6 kJ/mol of formula units
# M_tot ... 0.000 μB per atom
# Excess energy over the best structure of this formula in the dataset ... 106 meV/atom

Entry 3:
# PBE DyHoTlSn, relaxed
data_DyHoTlSn
_chemical_formula_sum 'Dy4 Ho4 Tl4 Sn4'
_cell_length_a 7.5594
_cell_length_b 7.5594
_cell_length_c 7.5594
_cell_angle_alpha 90.00
_cell_angle_beta 90.00
_cell_angle_gamma 90.00
_space_group_name_H-M_alt 'F -4 3 m'
_space_group_IT_number 216
_space_group_name_Hall 'F -4 2 3'
loop_
_atom_site_label
_atom_site_type_symbol
_atom_site_fract_x
_atom_site_fract_y
_atom_site_fract_z
Dy1 Dy 0.0000 0.0000 0.0000
Ho1 Ho 0.0000 0.0000 0.5000
Tl1 Tl 0.2500 0.2500 0.2500
Sn1 Sn 0.2500 0.2500 0.7500
# DFT formation energy ... -171 kJ/mol of formula units
# M_tot ... 0.000 μB per atom

Entry 4:
# PBE Ho12Co2Pd5, relaxed
data_Ho12Co2Pd5
_chemical_formula_sum 'Ho24 Co4 Pd10'
_cell_length_a 16.0968
_cell_length_b 7.3472
_cell_length_c 8.7352
_cell_angle_alpha 90.00
_cell_angle_beta 105.53
_cell_angle_gamma 90.00
_space_group_name_H-M_alt 'C 1 2/m 1'
_space_group_IT_number 12
_space_group_name_Hall '-C 2y'
loop_
_atom_site_label
_atom_site_type_symbol
_atom_site_fract_x
_atom_site_fract_y
_atom_site_fract_z
Ho1 Ho 0.0019 0.0000 0.2564
Ho2 Ho 0.0072 0.5000 0.3129
Ho3 Ho 0.1494 0.2559 0.0678
Ho4 Ho 0.1653 0.2362 0.5910
Co1 Co 0.0000 0.2109 0.5000
Pd1 Pd 0.0000 0.5000 0.0000
Pd2 Pd 0.1924 0.0000 0.3341
Pd3 Pd 0.2016 0.0000 0.8636
# DFT formation energy ... -863 kJ/mol of formula units
# M_tot ... 0.000 μB per atom

Entry 5:
# PBE ScCu2Tc2, relaxed
data_ScCu2Tc2
_chemical_formula_sum 'Sc2 Cu4 Tc4'
_cell_length_a 7.4936
_cell_length_b 7.4936
_cell_length_c 2.7498
_cell_angle_alpha 90.00
_cell_angle_beta 90.00
_cell_angle_gamma 90.00
_space_group_name_H-M_alt 'P 4/m b m'
_space_group_IT_number 127
_space_group_name_Hall '-P 4 2ab'
loop_
_atom_site_label
_atom_site_type_symbol
_atom_site_fract_x
_atom_site_fract_y
_atom_site_fract_z
Sc1 Sc 0.0000 0.0000 0.0000
Cu1 Cu 0.1833 0.3167 0.5000
Tc1 Tc 0.1107 0.6107 0.0000
# DFT formation energy ... 106 kJ/mol of formula units
# M_tot ... 0.059 μB per atom
# Excess energy over the best structure of this formula in the dataset ... 128 meV/atom

Entry 6:
# PBE MgTaFeGe2, relaxed
data_MgTaFeGe2
_chemical_formula_sum 'Mg1 Ta1 Fe1 Ge2'
_cell_length_a 4.5192
_cell_length_b 4.5192
_cell_length_c 4.8644
_cell_angle_alpha 90.00
_cell_angle_beta 90.00
_cell_angle_gamma 90.00
_space_group_name_H-M_alt 'P 4/m m m'
_space_group_IT_number 123
_space_group_name_Hall '-P 4 2'
loop_
_atom_site_label
_atom_site_type_symbol
_atom_site_fract_x
_atom_site_fract_y
_atom_site_fract_z
Mg1 Mg 0.0000 0.0000 0.0000
Ta1 Ta 0.0000 0.0000 0.5000
Fe1 Fe 0.5000 0.5000 0.5000
Ge1 Ge 0.0000 0.5000 0.0000
# DFT formation energy ... 817 kJ/mol of formula units
# M_tot ... 0.553 μB per atom

Entry 7:
# PBE Mn4ZnNi15, relaxed
data_Mn4ZnNi15
_chemical_formula_sum 'Mn4 Zn1 Ni15'
_cell_length_a 3.5635
_cell_length_b 3.5635
_cell_length_c 17.7736
_cell_angle_alpha 90.00
_cell_angle_beta 90.00
_cell_angle_gamma 90.00
_space_group_name_H-M_alt 'P 4/m m m'
_space_group_IT_number 123
_space_group_name_Hall '-P 4 2'
loop_
_atom_site_label
_atom_site_type_symbol
_atom_site_fract_x
_atom_site_fract_y
_atom_site_fract_z
Mn1 Mn 0.0000 0.0000 0.0999
Mn2 Mn 0.0000 0.0000 0.3003
Zn1 Zn 0.0000 0.0000 0.5000
Ni1 Ni 0.0000 0.5000 0.0000
Ni2 Ni 0.0000 0.5000 0.2000
Ni3 Ni 0.0000 0.5000 0.3991
Ni4 Ni 0.5000 0.5000 0.1001
Ni5 Ni 0.5000 0.5000 0.2996
Ni6 Ni 0.5000 0.5000 0.5000
# DFT formation energy ... -206 kJ/mol of formula units
# M_tot ... 1.005 μB per atom

Entry 8:
# PBE Ba2Tl4AgAu3, relaxed
data_Ba2Tl4AgAu3
_chemical_formula_sum 'Ba2 Tl4 Ag1 Au3'
_cell_length_a 5.0588
_cell_length_b 5.0588
_cell_length_c 11.3203
_cell_angle_alpha 90.00
_cell_angle_beta 90.00
_cell_angle_gamma 90.00
_space_group_name_H-M_alt 'P -4 m 2'
_space_group_IT_number 115
_space_group_name_Hall 'P -4 -2'
loop_
_atom_site_label
_atom_site_type_symbol
_atom_site_fract_x
_atom_site_fract_y
_atom_site_fract_z
Ba1 Ba 0.0000 0.5000 0.2439
Tl1 Tl 0.0000 0.0000 0.5000
Tl2 Tl 0.0000 0.5000 0.8806
Tl3 Tl 0.5000 0.5000 0.5000
Ag1 Ag 0.5000 0.5000 0.0000
Au1 Au 0.0000 0.0000 0.0000
Au2 Au 0.0000 0.5000 0.6326
# DFT formation energy ... -321 kJ/mol of formula units
# M_tot ... 0.000 μB per atom